(1)
A relaxed YTa2Ir crystal, computed with PBE-GGA.

```
4
Lattice="-2.144 -4.637 -2.087 0.168 0.801 5.458 -2.627 1.262 -0.104" Properties=species:S:1:pos:R:3 pbc="T T T"
Ir -1.229 1.031 2.677
Y -2.386 -1.688 -1.096
Ta 0.000 0.000 0.000
Ta -0.988 -1.918 1.685
```

N(E_F), states/eV/cell: 4.48
Crystal system: orthorhombic
Energy above the most stable polymorph in this dataset, eV/atom: 0.384



(2)
A relaxed Ti6Zn2O crystal, computed with PBE-GGA.

```
18
Lattice="5.749 0.000 -0.152 0.000 5.752 0.000 0.214 0.000 8.144" Properties=species:S:1:pos:R:3 pbc="T T T"
O 0.107 0.000 4.072
Ti 1.388 4.363 -0.036
O 2.875 2.876 -0.076
Zn 2.928 5.752 1.960
Ti 3.034 2.876 5.965
Ti 4.575 4.364 8.028
Ti 4.370 4.265 3.959
Zn 5.803 2.876 1.884
Zn 0.161 2.876 6.108
Ti 1.389 1.388 -0.037
Ti 4.370 1.488 3.959
Ti 1.594 1.487 4.032
Ti 5.911 0.000 6.022
Zn 3.035 0.000 6.032
Ti 0.053 5.752 1.970
Ti 1.593 4.264 4.032
Ti 2.929 2.876 2.026
Ti 4.576 1.389 8.028
```

N(E_F), states/eV/cell: 28.01
Crystal system: cubic
E_form (uncorrected), kJ per mole of atoms: -66
Energy above the most stable polymorph in this dataset, eV/atom: 0.000



(3)
A relaxed NbFeCoP2 crystal, computed with PBE-GGA.

```
5
Lattice="4.284 0.000 0.000 0.000 4.066 0.000 0.000 0.000 4.284" Properties=species:S:1:pos:R:3 pbc="T T T"
Fe 0.000 0.000 0.000
P 2.142 0.000 0.000
Nb 2.142 2.033 2.142
P 0.000 0.000 2.142
Co 0.000 2.033 0.000
```

N(E_F), states/eV/cell: 5.03
Crystal system: tetragonal



(4)
A relaxed LiTl2Pt2 crystal, computed with PBE-GGA.

```
10
Lattice="7.769 0.000 0.000 0.000 7.769 0.000 0.000 0.000 3.338" Properties=species:S:1:pos:R:3 pbc="T T T"
Pt 4.967 6.686 1.669
Pt 1.083 4.967 1.669
Pt 2.802 1.083 1.669
Tl 5.126 1.241 0.000
Pt 6.686 2.802 1.669
Tl 1.241 2.643 0.000
Tl 2.643 6.527 0.000
Li 0.000 0.000 0.000
Li 3.884 3.884 0.000
Tl 6.527 5.126 0.000
```

N(E_F), states/eV/cell: 3.23
Crystal system: tetragonal
Energy above the most stable polymorph in this dataset, eV/atom: 0.100



(5)
A relaxed V2HgP crystal, computed with PBE-GGA.

```
4
Lattice="0.000 3.110 3.110 3.110 0.000 3.110 3.110 3.110 0.000" Properties=species:S:1:pos:R:3 pbc="T T T"
Hg 3.110 3.110 3.110
P 0.000 0.000 0.000
V 1.555 1.555 1.555
V 4.665 4.665 4.665
```

N(E_F), states/eV/cell: 5.23
Crystal system: cubic
Energy above the most stable polymorph in this dataset, eV/atom: 0.000



(6)
A relaxed LaTb12Ho7 crystal, computed with PBE-GGA.

```
20
Lattice="-6.154 -1.999 -5.859 1.131 -8.592 1.043 -6.254 -0.565 6.063" Properties=species:S:1:pos:R:3 pbc="T T T"
Tb -4.612 -8.038 -1.540
Tb -2.765 -7.196 1.578
Ho -3.579 -9.173 4.121
Ho -5.639 -5.578 0.623
Tb -5.726 -4.680 -2.689
Ho -9.967 -2.898 2.488
Tb -6.581 -9.204 1.571
La 0.000 0.000 0.000
Tb -5.551 -6.476 3.936
Tb -4.697 -1.952 -0.324
Ho -1.310 -8.258 -1.241
Ho -5.070 -3.685 5.672
Tb -8.512 -3.960 -0.331
Ho -7.698 -1.984 -2.875
Tb -2.289 -4.455 -0.943
Tb -8.989 -6.701 2.189
Ho -6.207 -7.471 -4.425
Tb -8.330 -7.737 -1.118
Tb -2.947 -3.419 2.365
Tb -6.666 -3.118 2.787
```

N(E_F), states/eV/cell: 35.44
Crystal system: trigonal



(7)
A relaxed La6Mg2O crystal, computed with PBE-GGA.

```
9
Lattice="6.359 0.003 3.670 2.117 5.996 3.670 0.001 0.001 7.342" Properties=species:S:1:pos:R:3 pbc="T T T"
La 5.271 1.538 9.131
La 5.274 1.541 5.551
O 4.239 3.000 7.341
La 6.305 4.462 7.345
Mg 6.358 4.500 11.013
Mg 2.119 1.500 3.669
La 3.207 4.462 5.551
La 2.172 1.537 7.337
La 3.203 4.459 9.131
```

N(E_F), states/eV/cell: 11.83
Crystal system: cubic
E_form (uncorrected), kJ per mole of atoms: -58



(8)
A relaxed YC3 crystal, computed with PBE-GGA.

```
16
Lattice="4.904 0.000 0.000 -2.452 4.247 0.000 0.000 0.000 8.772" Properties=species:S:1:pos:R:3 pbc="T T T"
C 2.452 2.270 2.193
C -1.226 2.123 4.386
C 0.740 3.258 6.579
C 1.226 2.123 4.386
C 2.452 0.000 0.000
C 1.712 0.988 2.193
Y 0.000 2.831 2.193
C 1.226 2.123 0.000
C -1.226 2.123 0.000
C -0.740 3.258 6.579
C 0.000 1.977 6.579
Y 0.000 0.000 4.386
Y 2.452 1.416 6.579
C 3.192 0.988 2.193
C 2.452 0.000 4.386
Y 0.000 0.000 0.000
```

N(E_F), states/eV/cell: 5.30
Crystal system: hexagonal
Energy above the most stable polymorph in this dataset, eV/atom: 1.158



We obtain M_tot values of 0.0; 1.1; 0.4; 0.0; 1.3; 0.0; 0.2; 0.0 μB/f.u. for the records listed above, in that order.
We obtain total energy values of -9.557; -6.779; -6.676; -3.833; -5.711; -4.389; -4.793; -7.113 eV per atom for the records listed above, in that order.